# 1
! Ca5Nd PBE relaxed; values from VASP
! calculated formation energy = 0.380 eV/f.u.
! theoretical density = 2392 kg/m3
! calculated volume = 239.2 Å³ per cell
&SYSTEM
  ibrav = 0, nat = 6, ntyp = 2
/
ATOMIC_SPECIES
Nd 144.24 Nd.upf
Ca 40.08 Ca.upf
ATOMIC_POSITIONS angstrom
Nd 0.0000 0.0000 0.0000
Ca 2.1176 0.0000 3.0043
Ca 0.0000 3.0654 3.0395
Ca 2.1176 3.0654 0.0000
Ca 0.0000 0.0000 6.1729
Ca 2.1176 3.0654 6.2082
CELL_PARAMETERS angstrom
4.2351 0.0000 0.0000
0.0000 6.1308 0.0000
0.0000 -3.0654 9.2124

=====

# 2
! CaNd8 PBE relaxed; values from VASP
! calculated formation energy = 0.318 eV/f.u.
! theoretical density = 6167 kg/m3
! calculated volume = 321.5 Å³ per cell
&SYSTEM
  ibrav = 0, nat = 9, ntyp = 2
/
ATOMIC_SPECIES
Nd 144.24 Nd.upf
Ca 40.08 Ca.upf
ATOMIC_POSITIONS angstrom
Nd -3.4978 -6.8664 2.9241
Nd -6.3414 -5.2030 1.3115
Nd -0.6837 -8.5897 4.6061
Nd -0.2886 -7.2465 1.1793
Nd -3.3210 -3.2416 2.3862
Nd -3.3090 -9.2079 0.1047
Nd -3.1322 -5.5831 -0.4332
Nd -5.9463 -3.8598 -2.1152
Ca 0.0000 0.0000 0.0000
CELL_PARAMETERS angstrom
-2.7315 -4.2781 -3.9068
2.2874 -6.6598 5.6650
-6.1859 -1.5116 0.7326

=====

# 3
! CaNd7 PBE relaxed; values from VASP
! calculated formation energy = 0.228 eV/f.u.
! theoretical density = 6130 kg/m3
! calculated volume = 284.4 Å³ per cell
&SYSTEM
  ibrav = 0, nat = 8, ntyp = 2
/
ATOMIC_SPECIES
Nd 144.24 Nd.upf
Ca 40.08 Ca.upf
ATOMIC_POSITIONS angstrom
Nd 7.3815 4.2617 3.0135
Nd 5.5361 1.0654 3.0135
Nd 1.8454 1.0654 3.0135
Nd 3.6907 0.0000 0.0000
Nd 5.5361 3.1963 0.0000
Nd 3.6907 4.2617 3.0135
Nd 1.8454 3.1963 0.0000
Ca 0.0000 0.0000 0.0000
CELL_PARAMETERS angstrom
7.3815 0.0000 0.0000
3.6907 6.3926 0.0000
3.6907 2.1309 6.0270

=====

# 4
! Ca5Nd3 PBE relaxed; values from VASP
! calculated formation energy = 0.590 eV/f.u.
! theoretical density = 3373 kg/m3
! calculated volume = 311.6 Å³ per cell
&SYSTEM
  ibrav = 0, nat = 8, ntyp = 2
/
ATOMIC_SPECIES
Nd 144.24 Nd.upf
Ca 40.08 Ca.upf
ATOMIC_POSITIONS angstrom
Nd 0.0000 0.0000 2.9416
Nd 1.1451 1.6254 0.0000
Nd 0.0000 0.0000 22.2510
Ca 0.0000 0.0000 9.3576
Ca 1.1451 1.6254 12.5963
Ca 0.0000 0.0000 15.8351
Ca 1.1451 1.6253 19.0795
Ca 1.1451 1.6254 6.1131
CELL_PARAMETERS angstrom
3.6883 -0.1663 0.0000
-1.3981 3.4171 0.0000
0.0000 0.0000 25.1927

=====

# 5
! Ca2NdNi9 PBE relaxed; values from VASP
! calculated formation energy = -2.787 eV/f.u.
! theoretical density = 7050 kg/m3
! calculated volume = 177.3 Å³ per cell
&SYSTEM
  ibrav = 0, nat = 12, ntyp = 3
/
ATOMIC_SPECIES
Ni 58.69 Ni.upf
Nd 144.24 Nd.upf
Ca 40.08 Ca.upf
ATOMIC_POSITIONS angstrom
Ni -3.2995 8.6155 7.4976
Ni -2.5650 3.4522 2.0903
Ni -3.7245 5.6059 1.6076
Ni -3.0074 6.9233 5.7632
Ni -0.7653 6.4654 4.7735
Ni -2.7862 5.1877 3.9267
Ni -4.8071 3.9100 3.0799
Ni -2.2730 1.7599 0.3558
Ni -1.8479 4.7696 6.2459
Nd 0.0000 0.0000 0.0000
Ca -0.2390 3.6877 4.0719
Ca -5.3334 6.6877 3.7815
CELL_PARAMETERS angstrom
-2.3331 4.3339 -0.9713
-4.5117 0.9213 1.9915
1.2724 5.1202 6.8333

=====

# 6
! CaNdNi10 PBE relaxed; values from VASP
! calculated formation energy = -2.294 eV/f.u.
! theoretical density = 7649 kg/m3
! calculated volume = 167.4 Å³ per cell
&SYSTEM
  ibrav = 0, nat = 12, ntyp = 3
/
ATOMIC_SPECIES
Ni 58.69 Ni.upf
Nd 144.24 Nd.upf
Ca 40.08 Ca.upf
ATOMIC_POSITIONS angstrom
Ni -2.6365 3.3849 1.9528
Ni -1.6166 3.5719 4.1703
Ni -3.5804 2.7456 6.0698
Ni -1.9608 -0.8329 1.8919
Ni -4.0240 3.8624 3.9456
Ni -5.5824 2.1519 4.8065
Ni -4.3726 -0.5211 1.6857
Ni -0.8008 1.7694 2.0658
Ni -2.9896 -1.0000 -0.3024
Ni -2.8142 1.1893 0.8247
Nd -2.7706 0.9564 3.9809
Ca 0.0000 0.0000 0.0000
CELL_PARAMETERS angstrom
-2.8555 1.4285 -2.3305
-3.1237 -3.4286 1.7257
-2.4175 5.3413 6.2361

=====

# 7
! CaNd3Ni PBE relaxed; values from VASP
! calculated formation energy = -0.176 eV/f.u.
! theoretical density = 5414 kg/m3
! calculated volume = 326.0 Å³ per cell
&SYSTEM
  ibrav = 0, nat = 10, ntyp = 3
/
ATOMIC_SPECIES
Ni 58.69 Ni.upf
Ca 40.08 Ca.upf
Nd 144.24 Nd.upf
ATOMIC_POSITIONS angstrom
Ni 0.0000 0.0000 0.0000
Ni 3.0989 0.0001 -0.0001
Ca 1.5498 -0.0005 4.4994
Ca 4.6482 3.8972 2.2502
Nd 4.6485 0.0003 2.3262
Nd 4.6487 -1.8821 5.5864
Nd 1.5494 2.0149 1.1632
Nd 1.5493 5.7789 1.1630
Nd 4.6486 1.8819 5.5863
Nd 1.5495 3.8966 4.4233
CELL_PARAMETERS angstrom
6.1979 0.0001 -0.0002
-0.0002 7.7938 0.0001
0.0003 -3.8971 6.7495

=====

# 8
! CaNd3Ni PBE relaxed; values from VASP
! calculated formation energy = 0.007 eV/f.u.
! theoretical density = 5155 kg/m3
! calculated volume = 171.2 Å³ per cell
&SYSTEM
  ibrav = 0, nat = 5, ntyp = 3
/
ATOMIC_SPECIES
Nd 144.24 Nd.upf
Ni 58.69 Ni.upf
Ca 40.08 Ca.upf
ATOMIC_POSITIONS angstrom
Nd -0.7815 -2.3486 1.2576
Nd -1.2282 1.4806 2.0018
Nd 2.3641 -0.0072 1.4558
Ni 0.0000 0.0000 0.0000
Ca 0.3543 -0.8752 4.7151
CELL_PARAMETERS angstrom
-1.5630 -4.6972 2.5151
4.7281 -0.0143 2.9115
-2.4565 2.9612 4.0037

=====

# 9
! CaNd2Ni9 PBE relaxed; values from VASP
! calculated formation energy = -2.995 eV/f.u.
! theoretical density = 7897 kg/m3
! calculated volume = 180.2 Å³ per cell
&SYSTEM
  ibrav = 0, nat = 12, ntyp = 3
/
ATOMIC_SPECIES
Ca 40.08 Ca.upf
Ni 58.69 Ni.upf
Nd 144.24 Nd.upf
ATOMIC_POSITIONS angstrom
Ca 0.0000 0.0000 0.0000
Ni 0.3309 -5.2381 -4.5556
Ni -2.1279 -5.2471 -4.0300
Ni -1.3775 -7.9991 -0.5667
Ni 1.0813 -7.9901 -1.0924
Ni -0.5222 -4.0474 -2.5119
Ni -0.5004 -1.6132 -2.3684
Ni -0.5233 -6.6186 -2.5612
Ni -0.5462 -11.6239 -2.7540
Ni -0.5244 -9.1897 -2.6104
Nd 0.0644 -5.6258 0.2051
Nd -1.1110 -7.6114 -5.3274
CELL_PARAMETERS angstrom
-3.2176 -2.4038 -3.0419
1.7094 -2.3858 -4.0952
0.4616 -8.4475 2.0148

=====

# 10
! Ca2NdNi PBE relaxed; values from VASP
! calculated formation energy = -0.375 eV/f.u.
! theoretical density = 3889 kg/m3
! calculated volume = 241.8 Å³ per cell
&SYSTEM
  ibrav = 0, nat = 8, ntyp = 3
/
ATOMIC_SPECIES
Nd 144.24 Nd.upf
Ca 40.08 Ca.upf
Ni 58.69 Ni.upf
ATOMIC_POSITIONS angstrom
Nd -1.6005 4.3792 5.9270
Nd -5.4241 -0.1214 2.7445
Ca -3.0383 2.8859 2.7688
Ca -2.6796 0.4943 0.1320
Ca -4.3450 3.7636 8.5395
Ca -3.9863 1.3720 5.9027
Ni -4.2828 4.3556 5.5835
Ni -2.7417 -0.0978 3.0880
CELL_PARAMETERS angstrom
-2.4873 1.9882 -2.1417
-3.5408 -4.3755 3.4870
-0.9966 6.6450 7.3262

=====

# 11
! CaNdNi4 PBE relaxed; values from VASP
! calculated formation energy = -1.607 eV/f.u.
! theoretical density = 7304 kg/m3
! calculated volume = 95.3 Å³ per cell
&SYSTEM
  ibrav = 0, nat = 6, ntyp = 3
/
ATOMIC_SPECIES
Ni 58.69 Ni.upf
Nd 144.24 Nd.upf
Ca 40.08 Ca.upf
ATOMIC_POSITIONS angstrom
Ni -5.6937 5.0859 -1.8038
Ni -4.6715 3.6738 0.0663
Ni -4.7010 2.7900 -2.3324
Ni -3.1634 4.7338 -1.7052
Nd 0.0000 0.0000 0.0000
Ca -2.2787 2.0354 -0.7219
CELL_PARAMETERS angstrom
-1.9907 4.6041 1.0602
-2.0500 2.8316 -3.7502
-5.0741 0.7060 -0.1976

=====

# 12
! Ca2NdNi PBE relaxed; values from VASP
! calculated formation energy = 0.814 eV/f.u.
! theoretical density = 3734 kg/m3
! calculated volume = 125.9 Å³ per cell
&SYSTEM
  ibrav = 0, nat = 4, ntyp = 3
/
ATOMIC_SPECIES
Ni 58.69 Ni.upf
Ca 40.08 Ca.upf
Nd 144.24 Nd.upf
ATOMIC_POSITIONS angstrom
Ni 2.8990 -1.1443 6.1017
Ca 0.3754 -1.2673 7.2035
Ca 5.4226 -1.0213 4.9999
Nd 0.0000 0.0000 0.0000
CELL_PARAMETERS angstrom
-1.3791 1.3590 3.1246
-1.4785 -2.2608 2.4930
8.6556 -1.3869 6.5858